(1)
## Cs2VBiCl6 (PBE)

Data for a relaxed structure of Cs2VBiCl6.

Structure (POSCAR):
```
Cs2VBiCl6
1.0
7.366 0.000 0.000
0.000 7.366 0.000
3.683 3.683 6.068
Bi Cl Cs V
1 6 2 1
Direct
0.000 0.000 0.000
0.262 0.262 0.000
0.701 0.701 0.597
0.738 0.262 0.000
0.262 0.738 0.000
0.738 0.738 0.000
0.299 0.299 0.403
0.750 0.250 0.500
0.250 0.750 0.500
0.500 0.500 0.000
```

Values from the calculation:
Space-group type = No. 139
Formation energy (no corrections) = -1325 meV per atom
Crystal system = tetragonal
Energy = -39.0 eV/cell
Total magnetic moment = 2.00 Bohr magnetons per cell

(2)
## Zn2CrMo (PBE)

Data for a relaxed structure of Zn2CrMo.

Structure (POSCAR):
```
Zn2CrMo
1.0
2.574 0.000 0.000
0.000 4.025 0.000
0.000 0.000 5.474
Mo Cr Zn
1 1 2
Direct
0.500 0.500 0.733
0.000 0.000 0.512
0.000 0.000 0.011
0.500 0.500 0.245
```

Values from the calculation:
Space-group type = No. 25
Crystal system = orthorhombic
Energy = -22.0 eV/cell
Formation enthalpy at 0 K = 0.26 eV per atom
Total magnetic moment = 0.00 Bohr magnetons per cell

(3)
## SmEr8Cd6 (PBE)

Data for a relaxed structure of SmEr8Cd6.

Structure (POSCAR):
```
SmEr8Cd6
1.0
8.937 0.000 0.000
4.469 7.740 0.000
4.469 2.580 6.331
Er Cd Sm
8 6 1
Direct
0.667 0.667 0.999
0.333 0.333 0.001
0.117 0.448 0.652
0.216 0.883 0.348
0.883 0.552 0.348
0.448 0.784 0.652
0.784 0.117 0.652
0.552 0.216 0.348
0.053 0.715 0.841
0.285 0.609 0.159
0.391 0.053 0.841
0.609 0.947 0.159
0.715 0.391 0.841
0.947 0.285 0.159
0.000 0.000 0.000
```

Values from the calculation:
Space-group type = No. 148
Crystal system = trigonal
Energy = -47.6 eV/cell
Formation enthalpy at 0 K = -0.06 eV per atom
Total magnetic moment = 0.04 Bohr magnetons per cell

(4)
## SrLi2Ca2Si2 (PBE)

Data for a relaxed structure of SrLi2Ca2Si2.

Structure (POSCAR):
```
SrLi2Ca2Si2
1.0
4.741 0.000 0.000
2.370 4.105 0.000
2.370 1.368 9.118
Li Ca Sr Si
2 2 1 2
Direct
0.408 0.408 0.777
0.592 0.592 0.223
0.129 0.129 0.613
0.871 0.871 0.387
0.000 0.000 0.000
0.251 0.251 0.247
0.749 0.749 0.753
```

Values from the calculation:
Space-group type = No. 166
Formation energy (no corrections) = -354 meV per atom
Crystal system = trigonal
Energy = -22.8 eV/cell
Total magnetic moment = 0.00 Bohr magnetons per cell

(5)
## Pr2SmHg8 (PBE)

Data for a relaxed structure of Pr2SmHg8.

Structure (POSCAR):
```
Pr2SmHg8
1.0
-1.433 -1.853 -4.704
6.654 -3.432 -0.675
-5.401 -3.406 5.922
Hg Sm Pr
8 1 2
Direct
0.843 0.843 0.686
0.356 0.566 0.712
0.000 0.285 0.000
0.356 0.146 0.712
0.644 0.434 0.288
0.157 0.157 0.314
0.000 0.715 0.000
0.644 0.854 0.288
0.500 0.000 0.000
0.806 0.306 0.612
0.194 0.694 0.388
```

Values from the calculation:
Space-group type = No. 71
Crystal system = orthorhombic
Energy = -20.5 eV/cell
Formation enthalpy at 0 K = -0.35 eV per atom
Total magnetic moment = 0.00 Bohr magnetons per cell

(6)
## AlInSn2 (PBE)

Data for a relaxed structure of AlInSn2.

Structure (POSCAR):
```
AlInSn2
1.0
1.723 -4.879 -0.720
-1.748 -3.864 3.050
-3.196 -3.636 -1.964
Sn Al In
2 1 1
Direct
0.750 0.750 0.750
0.250 0.250 0.250
0.000 0.000 0.000
0.500 0.500 0.500
```

Values from the calculation:
Space-group type = No. 225
Crystal system = cubic
Energy = -13.9 eV/cell
Formation enthalpy at 0 K = 0.14 eV per atom
Total magnetic moment = 0.00 Bohr magnetons per cell

(7)
## SnGeN2O (PBE)

Data for a relaxed structure of SnGeN2O.

Structure (POSCAR):
```
SnGeN2O
1.0
-0.824 4.090 0.475
-1.469 -0.745 3.863
3.736 0.574 1.532
N O Sn Ge
2 1 1 1
Direct
0.500 0.000 0.000
0.000 0.500 0.000
0.000 0.000 0.500
0.000 0.000 0.000
0.500 0.500 0.500
```

Values from the calculation:
Space-group type = No. 123
Formation energy (no corrections) = 822 meV per atom
Crystal system = tetragonal
Energy = -26.1 eV/cell
Total magnetic moment = 1.99 Bohr magnetons per cell

(8)
## Ta3W5 (PBE)

Data for a relaxed structure of Ta3W5.

Structure (POSCAR):
```
Ta3W5
1.0
7.806 0.000 0.000
3.903 6.760 0.000
0.000 0.000 5.320
W Ta
10 6
Direct
0.333 0.333 0.000
0.000 0.778 0.250
0.000 0.222 0.750
0.222 0.778 0.750
0.667 0.667 0.000
0.778 0.000 0.750
0.667 0.667 0.500
0.222 0.000 0.250
0.333 0.333 0.500
0.778 0.222 0.250
0.394 0.000 0.750
0.606 0.394 0.750
0.394 0.606 0.250
0.606 0.000 0.250
0.000 0.394 0.250
0.000 0.606 0.750
```

Values from the calculation:
Space-group type = No. 193
Crystal system = hexagonal
Energy = -193.8 eV/cell
Formation enthalpy at 0 K = 0.43 eV per atom
Total magnetic moment = 0.00 Bohr magnetons per cell

(9)
## Ho6SbC2 (PBE)

Data for a relaxed structure of Ho6SbC2.

Structure (POSCAR):
```
Ho6SbC2
1.0
-2.296 -3.801 2.007
3.339 -2.132 5.699
-4.003 2.517 6.104
Ho C Sb
6 2 1
Direct
0.966 0.875 0.194
0.305 0.322 0.069
0.335 0.750 0.580
0.665 0.250 0.420
0.695 0.678 0.931
0.034 0.125 0.806
0.180 0.731 0.908
0.820 0.269 0.092
0.000 0.500 0.500
```

Values from the calculation:
Space-group type = No. 12
Formation energy (no corrections) = -294 meV per atom
Crystal system = monoclinic
Energy = -52.7 eV/cell
Total magnetic moment = 0.00 Bohr magnetons per cell

(10)
## Pr4Ag2Pd (PBE)

Data for a relaxed structure of Pr4Ag2Pd.

Structure (POSCAR):
```
Pr4Ag2Pd
1.0
5.004 0.000 1.563
2.258 4.466 1.563
-0.099 -0.061 9.106
Pd Ag Pr
1 2 4
Direct
0.000 0.000 0.000
0.754 0.754 0.737
0.246 0.246 0.263
0.123 0.123 0.631
0.373 0.373 0.881
0.877 0.877 0.369
0.627 0.627 0.119
```

Values from the calculation:
Space-group type = No. 166
Crystal system = trigonal
Energy = -31.6 eV/cell
Formation enthalpy at 0 K = -0.23 eV per atom
Total magnetic moment = 0.00 Bohr magnetons per cell

(11)
## EuHoTm2 (PBE)

Data for a relaxed structure of EuHoTm2.

Structure (POSCAR):
```
EuHoTm2
1.0
3.494 0.000 0.000
1.747 3.026 0.000
1.747 1.009 12.410
Tm Eu Ho
2 1 1
Direct
0.908 0.908 0.275
0.092 0.092 0.725
0.000 0.000 0.000
0.500 0.500 0.500
```

Values from the calculation:
Space-group type = No. 166
Crystal system = trigonal
Energy = -23.1 eV/cell
Formation enthalpy at 0 K = 0.17 eV per atom
Total magnetic moment = 7.75 Bohr magnetons per cell

(12)
## ZrSe3S (PBE)

Data for a relaxed structure of ZrSe3S.

Structure (POSCAR):
```
ZrSe3S
1.0
5.232 0.000 0.000
0.000 5.232 0.000
0.000 0.000 5.232
Se Zr S
3 1 1
Direct
0.500 0.000 0.000
0.000 0.500 0.000
0.000 0.000 0.500
0.000 0.000 0.000
0.500 0.500 0.500
```

Values from the calculation:
Space-group type = No. 221
Formation energy (no corrections) = 78 meV per atom
Crystal system = cubic
Energy = -22.7 eV/cell
Total magnetic moment = 2.85 Bohr magnetons per cell

Among the records above, which one has the highest energy?
AlInSn2